# PBE Ba2Li4Bi3Pb, relaxed
data_Ba2Li4Bi3Pb
_cell_length_a 4.868
_cell_length_b 4.868
_cell_length_c 12.183
_cell_angle_alpha 90.00
_cell_angle_beta 90.00
_cell_angle_gamma 90.00
_space_group_name_H-M_alt 'P -4 m 2'
_space_group_IT_number 115
_space_group_name_Hall 'P -4 -2'
loop_
_atom_site_label
_atom_site_type_symbol
_atom_site_fract_x
_atom_site_fract_y
_atom_site_fract_z
_atom_site_occupancy
Ba1 Ba 0.000 0.500 0.236 1
Li1 Li 0.000 0.000 0.000 1
Li2 Li 0.000 0.500 0.641 1
Li3 Li 0.500 0.500 0.000 1
Bi1 Bi 0.000 0.500 0.870 1
Bi2 Bi 0.500 0.500 0.500 1
Pb1 Pb 0.000 0.000 0.500 1
# Electronic total energy (eV/atom): -3.34


# PBE NdYHoTl, relaxed
data_NdYHoTl
_cell_length_a 4.851
_cell_length_b 4.902
_cell_length_c 4.958
_cell_angle_alpha 90.00
_cell_angle_beta 90.00
_cell_angle_gamma 90.00
_space_group_name_H-M_alt 'P m m m'
_space_group_IT_number 47
_space_group_name_Hall '-P 2 2'
loop_
_atom_site_label
_atom_site_type_symbol
_atom_site_fract_x
_atom_site_fract_y
_atom_site_fract_z
_atom_site_occupancy
Nd1 Nd 0.000 0.000 0.000 1
Y1 Y 0.500 0.000 0.500 1
Ho1 Ho 0.500 0.500 0.000 1
Tl1 Tl 0.000 0.500 0.500 1
# Excess energy over the best structure of this formula in the dataset (meV/atom): 0
# Electronic total energy (eV/atom): -4.73


# PBE DyYH, relaxed
data_DyYH
_cell_length_a 3.7521
_cell_length_b 3.7521
_cell_length_c 5.4533
_cell_angle_alpha 90.00
_cell_angle_beta 90.00
_cell_angle_gamma 120.00
_space_group_name_H-M_alt 'P -6 m 2'
_space_group_IT_number 187
_space_group_name_Hall 'P -6 2'
loop_
_atom_site_label
_atom_site_type_symbol
_atom_site_fract_x
_atom_site_fract_y
_atom_site_fract_z
_atom_site_occupancy
Dy1 Dy 0.0000 0.0000 0.0000 1
Y1 Y 0.6667 0.3333 0.5000 1
H1 H 0.6667 0.3333 0.0000 1
# Excess energy over the best structure of this formula in the dataset (meV/atom): 0
# Electronic total energy (eV/atom): -5.10


# PBE DyTlCuHg, relaxed
data_DyTlCuHg
_cell_length_a 7.085
_cell_length_b 7.085
_cell_length_c 7.085
_cell_angle_alpha 90.00
_cell_angle_beta 90.00
_cell_angle_gamma 90.00
_space_group_name_H-M_alt 'F -4 3 m'
_space_group_IT_number 216
_space_group_name_Hall 'F -4 2 3'
loop_
_atom_site_label
_atom_site_type_symbol
_atom_site_fract_x
_atom_site_fract_y
_atom_site_fract_z
_atom_site_occupancy
Dy1 Dy 0.000 0.000 0.000 1
Tl1 Tl 0.000 0.000 0.500 1
Cu1 Cu 0.250 0.250 0.250 1
Hg1 Hg 0.250 0.250 0.750 1
# Electronic total energy (eV/atom): -2.99